# 1
VASP calculation (GGA-PBE) on a relaxed structure of CsLiPmBr5.

```
CsLiPmBr5
1.0
8.203 0.012 -0.080
-2.384 7.849 -0.080
-2.513 -3.395 10.105
Pm Br Cs Li
2 10 2 2
Direct
0.000 0.000 0.500
0.000 0.000 0.000
0.070 0.930 0.250
0.372 0.234 0.082
0.628 0.766 0.918
0.896 0.298 0.103
0.930 0.070 0.750
0.104 0.702 0.897
0.766 0.628 0.418
0.234 0.372 0.582
0.298 0.896 0.603
0.702 0.104 0.397
0.657 0.343 0.750
0.343 0.657 0.250
0.308 0.692 0.750
0.692 0.308 0.250
```

Calculated values
Crystal system = monoclinic
Total magnetic moment = 0.00 μB per atom
Formation energy (no corrections) = -14.27 eV per formula unit
Calculated total energy = -60.31 eV/cell

# 2
VASP calculation (GGA-PBE) on a relaxed structure of MoP2WS.

```
MoP2WS
1.0
-4.283 -1.795 -0.909
1.797 -2.449 -3.629
0.878 -3.519 2.809
P W Mo S
2 1 1 1
Direct
0.500 0.000 0.000
0.000 0.500 0.000
0.000 0.000 0.000
0.500 0.500 0.500
0.000 0.000 0.500
```

Calculated values
Crystal system = tetragonal
Total magnetic moment = 0.71 μB per atom
Formation energy (no corrections) = 4.71 eV per formula unit
Calculated total energy = -34.03 eV/cell

# 3
VASP calculation (GGA-PBE) on a relaxed structure of Mn2In2Br7.

```
Mn2In2Br7
1.0
6.861 0.152 0.199
-1.097 7.910 0.048
-1.097 -2.005 7.652
Br In Mn
7 2 2
Direct
0.722 0.085 0.416
0.762 0.607 0.607
0.722 0.416 0.085
0.278 0.915 0.584
0.238 0.393 0.393
0.000 0.000 0.000
0.278 0.584 0.915
0.500 0.696 0.304
0.500 0.304 0.696
0.913 0.235 0.235
0.087 0.765 0.765
```

Calculated values
Crystal system = monoclinic
Total magnetic moment = 0.82 μB per atom
Formation energy (no corrections) = -7.43 eV per formula unit
Calculated total energy = -42.96 eV/cell

# 4
VASP calculation (GGA-PBE) on a relaxed structure of Ta3AsRh.

```
Ta3AsRh
1.0
-3.757 -3.003 -0.035
1.027 -1.337 4.504
-2.822 3.511 1.686
Ta As Rh
3 1 1
Direct
0.000 0.000 0.500
0.500 0.000 0.000
0.000 0.500 0.000
0.500 0.500 0.500
0.000 0.000 0.000
```

Calculated values
Crystal system = cubic
ΔE_f = 1099 meV/atom
Total magnetic moment = 0.00 μB per atom
Calculated total energy = -42.06 eV/cell

# 5
VASP calculation (GGA-PBE) on a relaxed structure of TePt2Pb.

```
TePt2Pb
1.0
4.938 0.000 0.000
2.469 4.277 0.000
2.469 1.426 4.032
Te Pb Pt
1 1 2
Direct
0.250 0.250 0.250
0.500 0.500 0.500
0.750 0.750 0.750
0.000 0.000 0.000
```

Calculated values
Crystal system = cubic
Total magnetic moment = 0.00 μB per atom
Formation energy (no corrections) = 1.26 eV per formula unit
Calculated total energy = -17.67 eV/cell

# 6
VASP calculation (GGA-PBE) on a relaxed structure of Cd7In2Hg2.

```
Cd7In2Hg2
1.0
5.796 0.348 -0.360
-1.830 5.511 -0.360
-0.508 -0.750 8.347
Cd Hg In
7 2 2
Direct
0.424 0.796 0.864
0.576 0.204 0.136
0.740 0.740 0.261
0.796 0.424 0.864
0.000 0.000 0.000
0.260 0.260 0.739
0.204 0.576 0.136
0.807 0.807 0.639
0.193 0.193 0.361
0.263 0.737 0.500
0.737 0.263 0.500
```

Calculated values
Crystal system = monoclinic
ΔE_f = 35 meV/atom
Total magnetic moment = 0.00 μB per atom
Calculated total energy = -12.10 eV/cell

# 7
VASP calculation (GGA-PBE) on a relaxed structure of TbNpS2.

```
TbNpS2
1.0
3.792 0.000 0.000
1.896 3.284 0.000
1.896 1.095 6.977
S Tb Np
2 1 1
Direct
0.253 0.253 0.242
0.081 0.081 0.756
0.671 0.671 0.988
0.495 0.495 0.514
```

Calculated values
Crystal system = trigonal
Total magnetic moment = 1.13 μB per atom
Formation energy (no corrections) = -6.36 eV per formula unit
Calculated total energy = -32.19 eV/cell

# 8
VASP calculation (GGA-PBE) on a relaxed structure of BaTc4S7.

```
BaTc4S7
1.0
6.407 0.000 0.000
0.000 4.247 0.000
0.000 0.000 18.250
Tc S Ba
8 14 2
Direct
0.611 0.751 0.877
0.065 0.749 0.264
0.065 0.749 0.736
0.111 0.249 0.623
0.565 0.251 0.764
0.111 0.249 0.377
0.565 0.251 0.236
0.611 0.751 0.123
0.437 0.251 0.885
0.437 0.251 0.115
0.659 0.751 0.000
0.937 0.749 0.385
0.909 0.249 0.733
0.159 0.249 0.500
0.969 0.750 0.139
0.969 0.750 0.861
0.409 0.751 0.767
0.469 0.250 0.361
0.909 0.249 0.267
0.937 0.749 0.615
0.409 0.751 0.233
0.469 0.250 0.639
0.515 0.749 0.500
0.015 0.251 0.000
```

Calculated values
Crystal system = orthorhombic
Total magnetic moment = 0.00 μB per atom
Formation energy (no corrections) = -5.75 eV per formula unit
Calculated total energy = -156.06 eV/cell

# 9
VASP calculation (GGA-PBE) on a relaxed structure of Nd5Sm2Ho6.

```
Nd5Sm2Ho6
1.0
-2.787 0.929 2.095
-7.413 -2.639 -8.693
-1.240 -19.350 6.933
Ho Sm Nd
12 4 10
Direct
0.000 0.061 0.080
0.000 0.439 0.580
0.500 0.677 0.866
0.500 0.823 0.366
0.000 0.921 0.632
0.500 0.323 0.134
0.000 0.421 0.868
0.000 0.079 0.368
0.000 0.939 0.920
0.000 0.561 0.420
0.500 0.177 0.634
0.000 0.579 0.132
0.000 0.328 0.287
0.000 0.672 0.713
0.000 0.828 0.213
0.000 0.172 0.787
0.500 0.000 0.500
0.500 0.700 0.550
0.500 0.585 0.275
0.500 0.300 0.450
0.500 0.415 0.725
0.500 0.085 0.225
0.500 0.800 0.050
0.500 0.200 0.950
0.500 0.500 0.000
0.500 0.915 0.775
```

Calculated values
Crystal system = orthorhombic
ΔE_f = 94 meV/atom
Total magnetic moment = 0.00 μB per atom
Calculated total energy = -119.05 eV/cell

# 10
VASP calculation (GGA-PBE) on a relaxed structure of SiPtN2.

```
SiPtN2
1.0
4.672 0.000 0.000
0.000 4.672 0.000
2.336 2.336 4.106
N Pt Si
4 2 2
Direct
0.875 0.797 0.750
0.375 0.453 0.750
0.203 0.625 0.250
0.547 0.125 0.250
0.750 0.250 0.500
0.000 0.000 0.000
0.250 0.750 0.500
0.500 0.500 0.000
```

Calculated values
Crystal system = tetragonal
Total magnetic moment = 0.00 μB per atom
Formation energy (no corrections) = -0.16 eV per formula unit
Calculated total energy = -56.55 eV/cell

# 11
VASP calculation (GGA-PBE) on a relaxed structure of Cs2SrCuBr6.

```
Cs2SrCuBr6
1.0
5.851 0.000 0.000
0.000 5.851 0.000
0.000 0.000 10.907
Cu Br Cs Sr
1 6 2 1
Direct
0.500 0.500 0.500
0.500 0.500 0.718
0.500 0.500 0.282
0.500 0.000 0.000
0.500 0.000 0.500
0.000 0.500 0.000
0.000 0.500 0.500
0.000 0.000 0.724
0.000 0.000 0.276
0.500 0.500 0.000
```

Calculated values
Crystal system = tetragonal
Total magnetic moment = 0.09 μB per atom
Formation energy (no corrections) = -14.02 eV per formula unit
Calculated total energy = -31.54 eV/cell

# 12
VASP calculation (GGA-PBE) on a relaxed structure of ScCd.

```
ScCd
1.0
-0.809 -0.976 3.300
3.111 -1.675 0.268
1.486 2.958 1.239
Sc Cd
1 1
Direct
0.000 0.496 0.004
0.500 0.996 0.504
```

Calculated values
Crystal system = cubic
ΔE_f = -294 meV/atom
Total magnetic moment = 0.00 μB per atom
Calculated total energy = -7.83 eV/cell

# 13
VASP calculation (GGA-PBE) on a relaxed structure of ErTa2Be6.

```
ErTa2Be6
1.0
3.044 0.000 0.000
0.000 5.704 -3.293
0.000 0.000 6.586
Ta Be Er
2 6 1
Direct
0.000 0.333 0.667
0.000 0.667 0.333
0.500 0.345 0.000
0.500 0.000 0.655
0.500 0.000 0.345
0.500 0.345 0.345
0.500 0.655 0.000
0.500 0.655 0.655
0.000 0.000 0.000
```

Calculated values
Crystal system = hexagonal
ΔE_f = -38 meV/atom
Total magnetic moment = 0.00 μB per atom
Calculated total energy = -50.97 eV/cell

# 14
VASP calculation (GGA-PBE) on a relaxed structure of CuGe2Mo2.

```
CuGe2Mo2
1.0
-2.785 3.685 4.995
-5.952 -3.139 -1.003
0.886 -2.404 2.267
Mo Ge Cu
4 4 2
Direct
0.351 0.851 0.000
0.649 0.149 0.000
0.851 0.649 0.000
0.149 0.351 0.000
0.650 0.850 0.500
0.850 0.350 0.500
0.150 0.650 0.500
0.350 0.150 0.500
0.500 0.500 0.000
0.000 0.000 0.000
```

Calculated values
Crystal system = tetragonal
ΔE_f = 147 meV/atom
Total magnetic moment = 0.00 μB per atom
Calculated total energy = -68.51 eV/cell

# 15
VASP calculation (GGA-PBE) on a relaxed structure of K2YTe.

```
K2YTe
1.0
-2.974 3.452 3.349
-3.070 -0.460 4.727
5.891 2.357 7.101
Y Te K
1 1 2
Direct
0.192 0.192 0.375
0.480 0.480 0.375
0.998 0.998 0.056
0.830 0.830 0.694
```

Calculated values
Crystal system = monoclinic
Total magnetic moment = 0.36 μB per atom
Formation energy (no corrections) = -1.43 eV per formula unit
Calculated total energy = -13.23 eV/cell

# 16
VASP calculation (GGA-PBE) on a relaxed structure of CdIrAu2.

```
CdIrAu2
1.0
-3.005 0.507 0.949
-1.353 -3.874 -2.213
0.808 -2.510 3.901
Ir Au Cd
1 2 1
Direct
0.000 0.500 0.500
0.000 0.000 0.000
0.500 0.500 0.000
0.500 0.000 0.500
```

Calculated values
Crystal system = orthorhombic
ΔE_f = 188 meV/atom
Total magnetic moment = 0.00 μB per atom
Calculated total energy = -15.58 eV/cell

# 17
VASP calculation (GGA-PBE) on a relaxed structure of KNpBe2Cl8.

```
KNpBe2Cl8
1.0
6.224 0.000 0.000
3.112 5.390 0.000
3.112 1.797 9.854
Cl Be K Np
8 2 1 1
Direct
0.185 0.185 0.445
0.416 0.718 0.828
0.815 0.815 0.555
0.038 0.416 0.828
0.962 0.584 0.172
0.584 0.282 0.172
0.718 0.038 0.828
0.282 0.962 0.172
0.251 0.251 0.247
0.749 0.749 0.753
0.500 0.500 0.500
0.000 0.000 0.000
```

Calculated values
Crystal system = trigonal
Total magnetic moment = 0.33 μB per atom
Formation energy (no corrections) = -19.04 eV per formula unit
Calculated total energy = -55.30 eV/cell

# 18
VASP calculation (GGA-PBE) on a relaxed structure of Sr6Tl2Pt.

```
Sr6Tl2Pt
1.0
-1.326 3.225 6.561
-5.615 -6.840 2.227
8.467 -5.570 4.241
Tl Sr Pt
4 12 2
Direct
0.053 0.615 0.257
0.947 0.385 0.743
0.553 0.885 0.757
0.447 0.115 0.243
0.357 0.804 0.061
0.837 0.661 0.941
0.337 0.839 0.441
0.857 0.696 0.561
0.879 0.964 0.243
0.163 0.339 0.059
0.621 0.464 0.257
0.143 0.304 0.439
0.379 0.536 0.743
0.121 0.036 0.757
0.663 0.161 0.559
0.643 0.196 0.939
0.500 0.500 0.000
0.000 0.000 0.500
```

Calculated values
Crystal system = monoclinic
ΔE_f = -420 meV/atom
Total magnetic moment = 0.00 μB per atom
Calculated total energy = -49.29 eV/cell

# 19
VASP calculation (GGA-PBE) on a relaxed structure of SnH2Pb.

```
SnH2Pb
1.0
0.000 3.193 3.193
3.193 0.000 3.193
3.193 3.193 0.000
Sn H Pb
1 2 1
Direct
0.000 0.000 0.000
0.250 0.250 0.250
0.750 0.750 0.750
0.500 0.500 0.500
```

Calculated values
Crystal system = cubic
Total magnetic moment = 0.00 μB per atom
Calculated total energy = -11.87 eV/cell

# 20
VASP calculation (GGA-PBE) on a relaxed structure of Tb3Pr6In.

```
Tb3Pr6In
1.0
6.505 0.000 0.000
0.000 11.245 -2.623
0.000 -5.066 10.376
Pr Tb In
12 6 2
Direct
0.558 0.260 0.375
0.337 0.096 0.531
0.837 0.904 0.469
0.307 0.982 0.018
0.337 0.469 0.904
0.283 0.712 0.288
0.058 0.375 0.260
0.807 0.018 0.982
0.058 0.740 0.625
0.558 0.625 0.740
0.837 0.531 0.096
0.783 0.288 0.712
0.983 0.041 0.296
0.583 0.587 0.413
0.483 0.959 0.704
0.083 0.413 0.587
0.983 0.704 0.959
0.483 0.296 0.041
0.556 0.846 0.154
0.056 0.154 0.846
```

Calculated values
Crystal system = orthorhombic
ΔE_f = 1 meV/atom
Total magnetic moment = 0.00 μB per atom
Calculated total energy = -90.60 eV/cell

# 21
VASP calculation (GGA-PBE) on a relaxed structure of NdTh7.

```
NdTh7
1.0
6.197 0.000 3.578
2.066 5.842 3.578
0.000 0.000 7.155
Th Nd
7 1
Direct
0.000 0.500 0.000
0.000 0.500 0.500
0.500 0.000 0.000
0.500 0.500 0.000
0.500 0.000 0.500
0.000 0.000 0.500
0.500 0.500 0.500
0.000 0.000 0.000
```

Calculated values
Crystal system = cubic
ΔE_f = 25 meV/atom
Total magnetic moment = 0.00 μB per atom
Calculated total energy = -56.51 eV/cell

# 22
VASP calculation (GGA-PBE) on a relaxed structure of NdHfInHg.

```
NdHfInHg
1.0
5.208 0.000 0.000
2.604 4.510 0.000
2.604 1.503 4.252
Hf Nd Hg In
1 1 1 1
Direct
0.000 0.000 0.000
0.500 0.500 0.500
0.750 0.750 0.750
0.250 0.250 0.250
```

Calculated values
Crystal system = cubic
ΔE_f = -164 meV/atom
Total magnetic moment = 0.00 μB per atom
Calculated total energy = -18.42 eV/cell

# 23
VASP calculation (GGA-PBE) on a relaxed structure of GaFePdPt.

```
GaFePdPt
1.0
4.355 0.000 0.000
2.178 3.772 0.000
2.178 1.257 3.556
Pd Fe Pt Ga
1 1 1 1
Direct
0.750 0.750 0.750
0.000 0.000 0.000
0.250 0.250 0.250
0.500 0.500 0.500
```

Calculated values
Crystal system = cubic
ΔE_f = -349 meV/atom
Total magnetic moment = 0.80 μB per atom
Calculated total energy = -24.12 eV/cell